Mg4CdSnH after structural relaxation, computed with PBE-GGA.

Values from the calculation:
magnetization	0.000	Bohr magnetons per cell
calculated volume	20.367	Å³/atom
energy	-29.843	eV per cell

Cell lengths 8.107, 8.107, 6.152 Å; angles 90.00, 90.00, 135.15 degrees
Sites, in units of the cell vectors:
Mg  0.000  0.500  0.000
Mg  0.000  0.500  0.500
Mg  0.080  0.920  0.750
Mg  0.414  0.586  0.750
Mg  0.500  0.000  0.000
Mg  0.500  0.000  0.500
Mg  0.586  0.414  0.250
Mg  0.920  0.080  0.250
Cd  0.111  0.889  0.250
Cd  0.889  0.111  0.750
Sn  0.390  0.610  0.250
Sn  0.610  0.390  0.750
H  0.262  0.738  0.750
H  0.738  0.262  0.250